CoSb | the Open Quantum Materials Database | PBE | relaxed; E = -5.203 eV per atom
1.0
0.2414 1.0786 3.8487
-0.8673 -3.7877 -0.9671
6.3648 -1.4600 0.0099
Co Sb
2 2
Direct
0.3333 0.6667 0.4994
0.0000 0.0000 0.9994
0.0000 0.0000 0.3756
0.3333 0.6667 0.8756